[1]
Entry from Alexandria: a relaxed Y2Mg3Cu crystal (GGA-PBEsol).

a b c (Å): 5.851 5.851 9.099
angles (deg): 90.00 90.00 120.00
Fractional coordinates of all 12 atoms:
1 Y 0.333 0.667 0.059
2 Y 0.333 0.667 0.441
3 Y 0.667 0.333 0.559
4 Y 0.667 0.333 0.941
5 Mg 0.164 0.327 0.750
6 Mg 0.164 0.836 0.750
7 Mg 0.327 0.164 0.250
8 Mg 0.673 0.836 0.750
9 Mg 0.836 0.164 0.250
10 Mg 0.836 0.673 0.250
11 Cu 0.000 0.000 0.000
12 Cu 0.000 0.000 0.500

- Magnetic moment: 0.0 μB/cell
- Mass density: 3.87 g/cm3
- V: 22.5 A^3/atom
- ΔE to the lowest computed polymorph: 0.009 eV/atom

***

[2]
Entry from Alexandria: a relaxed LaAl2Ag3 crystal (GGA-PBEsol).

a b c (Å): 5.543 5.543 4.463
angles (deg): 90.00 90.00 121.32
Fractional coordinates of all 6 atoms:
1 La 0.000 0.000 0.000
2 Al 0.000 0.500 0.500
3 Al 0.500 0.000 0.500
4 Ag 0.324 0.676 0.000
5 Ag 0.500 0.500 0.500
6 Ag 0.676 0.324 0.000

- Total energy: -4.2745 eV per atom
- Magnetic moment: 0.0 μB/cell
- Mass density: 7.32 g/cm3
- V: 19.5 A^3/atom

***

[3]
Entry from Alexandria: a relaxed Ba2ZnW crystal (GGA-PBEsol).

a b c (Å): 5.756 5.756 5.756
angles (deg): 130.49 130.49 72.63
Fractional coordinates of all 4 atoms:
1 Ba 0.000 0.000 0.000
2 Ba 0.750 0.250 0.500
3 Zn 0.250 0.750 0.500
4 W 0.500 0.500 0.000

- Total energy: -3.7853 eV per atom
- Magnetic moment: 1.7 μB/cell
- Mass density: 8.07 g/cm3
- V: 27.0 A^3/atom

***

[4]
Entry from Alexandria: a relaxed CuRuRh2 crystal (GGA-PBEsol).

a b c (Å): 8.698 8.698 8.698
angles (deg): 17.55 17.55 17.55
Fractional coordinates of all 4 atoms:
1 Cu 0.000 0.000 0.000
2 Ru 0.251 0.251 0.251
3 Rh 0.502 0.502 0.502
4 Rh 0.749 0.749 0.749

- Magnetic moment: 0.0 μB/cell
- Mass density: 11.78 g/cm3
- V: 13.1 A^3/atom
- ΔE to the lowest computed polymorph: 0.061 eV/atom

***

[5]
Entry from Alexandria: a relaxed YReSb2Rh crystal (GGA-PBEsol).

a b c (Å): 5.535 5.535 4.641
angles (deg): 90.00 90.00 90.00
Fractional coordinates of all 5 atoms:
1 Y 0.000 0.000 0.000
2 Re 0.500 0.500 0.500
3 Sb 0.000 0.500 0.000
4 Sb 0.500 0.000 0.000
5 Rh 0.000 0.000 0.500

- Magnetic moment: 3.6 μB/cell
- Mass density: 7.26 g/cm3
- V: 28.4 A^3/atom
- ΔE_f (raw): 1.8417 eV/atom

***

[6]
Entry from Alexandria: a relaxed NbPS2F crystal (GGA-PBEsol).

a b c (Å): 4.586 4.586 3.630
angles (deg): 90.00 90.00 90.00
Fractional coordinates of all 5 atoms:
1 Nb 0.000 0.000 0.000
2 P 0.500 0.500 0.000
3 S 0.000 0.500 0.500
4 S 0.500 0.000 0.500
5 F 0.500 0.500 0.500

- Magnetic moment: 0.6 μB/cell
- Mass density: 4.50 g/cm3
- V: 15.3 A^3/atom
- ΔE_f (raw): 0.4076 eV/atom